[1]
Material: Tb3Cd2Pd4
Method: DFT, PBE-GGA
State: optimized geometry

Geometry as extended XYZ:
```
9
Lattice="4.420 0.000 0.000 -2.210 4.861 0.324 0.000 -0.781 9.115" Properties=species:S:1:pos:R:3 pbc="T T T"
Tb 0.000 3.104 5.828
Tb 0.000 0.000 0.000
Tb 2.210 0.976 3.611
Cd 0.000 3.043 2.203
Cd 2.210 1.037 7.236
Pd 2.210 1.905 0.920
Pd 0.000 0.253 5.747
Pd 2.210 3.827 3.692
Pd 0.000 2.175 8.519
```

Output
Symmetry: C2/m

***

[2]
Material: TbCdPd
Method: DFT, PBE-GGA
State: optimized geometry

Geometry as extended XYZ:
```
3
Lattice="3.500 0.000 0.000 0.000 4.711 0.000 0.000 -2.356 4.080" Properties=species:S:1:pos:R:3 pbc="T T T"
Tb 2.333 2.356 1.360
Pd 0.585 0.000 2.720
Cd 0.583 0.000 0.000
```

Output
Symmetry: P-6m2

***

Number 1: energy of formation -0.6957 eV per atom, calculated total energy -4.750 eV per atom. Number 2: energy of formation -0.5493 eV per atom, calculated total energy -4.129 eV per atom.